Material: CeHoZnAu
Method: DFT, PBE
State: optimized geometry

a b c (Å): 5.1318 5.1318 5.1318
angles (deg): 60.00 60.00 60.00
Site moments in Bohr magnetons follow the coordinates.
Element x y z (fractional)
Ce: 0.2500 0.2500 0.2500  0.65
Zn: 0.0000 0.0000 0.0000  0.00
Ho: 0.7500 0.7500 0.7500  0.04
Au: 0.5000 0.5000 0.5000  0.00

Computed properties:
DFT formation energy: -0.467 eV per atom
excess energy over the best structure of this formula in the dataset: 2.8 kJ/mol of atoms
energy: -4.233 eV per atom